Tm2PuBr: optimized geometry, PBE-GGA. Values from VASP.

Computed properties:
**Calculated volume**: 27.25 A^3/atom
**Energy**: -6.676 eV/atom
**Spin magnetization**: 5.9 μB per cell
**DOS(E_F)**: 1.7921 states/eV/atom
**Raw formation energy**: -169 kJ/mol of formula units

Structure (Quantum ESPRESSO input):
```
&SYSTEM
  ibrav = 0, nat = 4, ntyp = 3
/
ATOMIC_SPECIES
Tm 168.93 Tm.upf
Br 79.90 Br.upf
Pu 244.00 Pu.upf
CELL_PARAMETERS angstrom
-0.425 3.508 0.328
-1.709 1.325 2.813
7.934 2.192 6.026
ATOMIC_POSITIONS angstrom
Tm 4.496 5.279 6.959
Tm 1.304 1.746 2.208
Br 0.000 0.000 0.000
Pu 2.900 3.513 4.584
```



TmPuBr6: optimized geometry, PBE-GGA. Values from VASP.

Computed properties:
**Calculated volume**: 35.40 A^3/atom
**Energy**: -5.237 eV/atom
**Spin magnetization**: 5.0 μB per cell
**DOS(E_F)**: 1.2378 states/eV/atom
**Raw formation energy**: -1260 kJ/mol of formula units

Structure (Quantum ESPRESSO input):
```
&SYSTEM
  ibrav = 0, nat = 8, ntyp = 3
/
ATOMIC_SPECIES
Tm 168.93 Tm.upf
Pu 244.00 Pu.upf
Br 79.90 Br.upf
CELL_PARAMETERS angstrom
-0.951 -0.351 6.992
-3.146 -5.643 2.858
4.463 -4.923 3.931
ATOMIC_POSITIONS angstrom
Tm 0.183 -5.459 6.890
Pu 0.000 0.000 0.000
Br 1.926 -6.005 4.796
Br 2.287 -4.486 8.425
Br -0.208 -2.907 5.861
Br -1.920 -6.431 5.356
Br -1.559 -4.912 8.985
Br 0.575 -8.010 7.920
```



PuUBr5: optimized geometry, PBE-GGA. Values from VASP.

Computed properties:
**Calculated volume**: 37.62 A^3/atom
**Energy**: -5.974 eV/atom
**Spin magnetization**: 7.0 μB per cell
**DOS(E_F)**: 1.0820 states/eV/atom
**Raw formation energy**: -756 kJ/mol of formula units

Structure (Quantum ESPRESSO input):
```
&SYSTEM
  ibrav = 0, nat = 14, ntyp = 3
/
ATOMIC_SPECIES
Pu 244.00 Pu.upf
U 238.03 U.upf
Br 79.90 Br.upf
CELL_PARAMETERS angstrom
-1.968 -3.388 -1.904
8.299 -5.075 0.453
-8.783 -0.994 10.850
ATOMIC_POSITIONS angstrom
Pu -1.075 -6.892 5.901
Pu -1.377 -2.566 3.499
U 0.796 -3.098 2.199
U -3.248 -6.360 7.201
Br -3.693 -1.245 3.541
Br -1.797 -3.548 0.696
Br -3.027 -4.922 4.413
Br 1.890 -2.419 -0.140
Br -3.779 -3.599 7.820
Br 1.326 -5.859 1.580
Br -4.342 -7.038 9.540
Br 0.575 -4.536 4.987
Br -0.656 -5.910 8.704
Br 1.240 -8.213 5.859
```



YPuBr5: optimized geometry, PBE-GGA. Values from VASP.

Computed properties:
**Calculated volume**: 33.73 A^3/atom
**Energy**: -5.840 eV/atom
**Spin magnetization**: 12.0 μB per cell
**DOS(E_F)**: 1.6291 states/eV/atom
**Raw formation energy**: -1131 kJ/mol of formula units

Structure (Quantum ESPRESSO input):
```
&SYSTEM
  ibrav = 0, nat = 14, ntyp = 3
/
ATOMIC_SPECIES
Y 88.91 Y.upf
Pu 244.00 Pu.upf
Br 79.90 Br.upf
CELL_PARAMETERS angstrom
4.066 0.000 0.000
0.000 8.472 -0.517
0.000 -0.171 13.721
ATOMIC_POSITIONS angstrom
Y 1.016 3.477 4.526
Y 3.049 4.824 8.677
Pu 3.049 0.743 1.912
Pu 1.016 7.558 11.291
Br 1.016 0.590 4.200
Br 3.049 1.116 12.662
Br 3.049 2.643 6.432
Br 1.016 2.971 1.664
Br 1.016 3.027 9.491
Br 3.049 5.274 3.713
Br 3.049 5.330 11.540
Br 1.016 5.658 6.771
Br 1.016 7.185 0.541
Br 3.049 7.711 9.004
```



Y2PuBr: optimized geometry, PBE-GGA. Values from VASP.

Computed properties:
**Calculated volume**: 28.45 A^3/atom
**Energy**: -7.690 eV/atom
**Spin magnetization**: 6.0 μB per cell
**DOS(E_F)**: 1.8457 states/eV/atom
**Raw formation energy**: -176 kJ/mol of formula units

Structure (Quantum ESPRESSO input):
```
&SYSTEM
  ibrav = 0, nat = 4, ntyp = 3
/
ATOMIC_SPECIES
Y 88.91 Y.upf
Br 79.90 Br.upf
Pu 244.00 Pu.upf
CELL_PARAMETERS angstrom
-3.106 1.627 0.847
-2.527 0.491 -2.527
-5.935 -8.244 1.758
ATOMIC_POSITIONS angstrom
Y -8.750 -4.758 0.101
Y -2.818 -1.367 -0.023
Br 0.000 0.000 0.000
Pu -5.784 -3.063 0.039
```



PuZnBr6: optimized geometry, PBE-GGA. Values from VASP.

Computed properties:
**Calculated volume**: 38.35 A^3/atom
**Energy**: -4.282 eV/atom
**Spin magnetization**: 4.0 μB per cell
**DOS(E_F)**: 1.3810 states/eV/atom
**Raw formation energy**: -831 kJ/mol of formula units

Structure (Quantum ESPRESSO input):
```
&SYSTEM
  ibrav = 0, nat = 8, ntyp = 3
/
ATOMIC_SPECIES
Pu 244.00 Pu.upf
Zn 65.41 Zn.upf
Br 79.90 Br.upf
CELL_PARAMETERS angstrom
-2.323 3.878 -5.680
4.280 -5.761 -1.093
-5.462 -3.876 -0.281
ATOMIC_POSITIONS angstrom
Pu -2.731 -1.938 -0.141
Zn 0.000 0.000 0.000
Br 2.271 -5.555 -2.832
Br -2.385 1.241 -6.067
Br -1.120 -7.000 -0.987
Br -5.776 -0.203 -4.222
Br -3.648 -3.546 -2.200
Br 0.143 -2.212 -4.854
```



PuZnBr6: optimized geometry, PBE-GGA. Values from VASP.

Computed properties:
**Calculated volume**: 31.62 A^3/atom
**Energy**: -4.231 eV/atom
**Spin magnetization**: 4.0 μB per cell
**DOS(E_F)**: 1.1285 states/eV/atom
**Raw formation energy**: -792 kJ/mol of formula units

Structure (Quantum ESPRESSO input):
```
&SYSTEM
  ibrav = 0, nat = 8, ntyp = 3
/
ATOMIC_SPECIES
Pu 244.00 Pu.upf
Zn 65.41 Zn.upf
Br 79.90 Br.upf
CELL_PARAMETERS angstrom
-5.576 -3.473 -1.891
0.609 -6.295 -2.592
-2.106 -5.668 4.255
ATOMIC_POSITIONS angstrom
Pu -3.536 -7.718 -0.114
Zn 0.000 0.000 0.000
Br -1.880 -7.098 2.030
Br -5.747 -7.510 1.556
Br -3.744 -5.022 -0.755
Br -1.325 -7.927 -1.784
Br -5.192 -8.338 -2.258
Br -3.329 -10.415 0.526
```



PuZn3Br9: optimized geometry, PBE-GGA. Values from VASP.

Computed properties:
**Calculated volume**: 36.21 A^3/atom
**Energy**: -3.577 eV/atom
**Spin magnetization**: 10.0 μB per cell
**DOS(E_F)**: 0.8273 states/eV/atom
**Raw formation energy**: -1282 kJ/mol of formula units

Structure (Quantum ESPRESSO input):
```
&SYSTEM
  ibrav = 0, nat = 26, ntyp = 3
/
ATOMIC_SPECIES
Pu 244.00 Pu.upf
Zn 65.41 Zn.upf
Br 79.90 Br.upf
CELL_PARAMETERS angstrom
8.774 0.000 3.692
4.014 9.401 2.733
0.316 -0.217 11.521
ATOMIC_POSITIONS angstrom
Pu 2.170 4.670 1.475
Pu 8.367 9.262 10.299
Zn 9.563 4.953 12.232
Zn 8.726 0.361 5.663
Zn 12.730 8.787 15.868
Zn 3.912 4.195 5.941
Zn 6.461 2.172 11.122
Zn 6.927 6.981 6.146
Br 3.663 1.806 5.517
Br 4.433 6.398 12.058
Br 4.904 2.761 12.909
Br 6.738 7.571 8.509
Br 2.000 0.642 9.019
Br 2.777 5.451 4.173
Br 9.280 7.030 5.421
Br 5.335 2.221 8.933
Br 11.198 8.688 9.976
Br 9.511 3.878 14.438
Br 8.438 7.138 12.285
Br 9.474 2.546 6.504
Br 6.310 4.639 5.825
Br 11.137 9.232 14.072
Br 8.406 3.580 10.575
Br 5.959 8.389 4.373
Br 7.426 0.623 3.612
Br 3.164 5.215 8.035
```



PuZrBr5: optimized geometry, PBE-GGA. Values from VASP.

Computed properties:
**Calculated volume**: 32.75 A^3/atom
**Energy**: -5.849 eV/atom
**Spin magnetization**: 10.1 μB per cell
**DOS(E_F)**: 1.5357 states/eV/atom
**Raw formation energy**: -936 kJ/mol of formula units

Structure (Quantum ESPRESSO input):
```
&SYSTEM
  ibrav = 0, nat = 14, ntyp = 3
/
ATOMIC_SPECIES
Pu 244.00 Pu.upf
Zr 91.22 Zr.upf
Br 79.90 Br.upf
CELL_PARAMETERS angstrom
3.693 0.000 0.000
0.000 8.601 -0.098
0.000 0.543 14.430
ATOMIC_POSITIONS angstrom
Pu 2.770 0.752 1.954
Pu 0.923 8.392 12.378
Zr 0.923 3.118 4.553
Zr 2.770 6.025 9.779
Br 0.923 0.383 4.234
Br 2.770 1.925 13.417
Br 2.770 2.561 6.503
Br 0.923 3.053 1.808
Br 0.923 4.028 10.150
Br 2.770 5.116 4.182
Br 2.770 6.091 12.524
Br 0.923 6.582 7.829
Br 0.923 7.218 0.916
Br 2.770 8.761 10.098
```



RbBr: optimized geometry, PBE-GGA. Values from VASP.

Computed properties:
**Calculated volume**: 42.96 A^3/atom
**Energy**: -3.044 eV/atom
**Spin magnetization**: 0.0 μB per cell
**DOS(E_F)**: 0.0000 states/eV/atom
**Raw formation energy**: -333 kJ/mol of formula units

Structure (Quantum ESPRESSO input):
```
&SYSTEM
  ibrav = 0, nat = 12, ntyp = 2
/
ATOMIC_SPECIES
Br 79.90 Br.upf
Rb 85.47 Rb.upf
CELL_PARAMETERS angstrom
-2.529 -4.140 0.123
4.182 0.362 2.436
-12.554 8.273 20.318
ATOMIC_POSITIONS angstrom
Br -0.505 0.333 0.817
Br -6.929 4.709 16.027
Br -4.982 0.451 8.484
Br -10.945 7.213 17.714
Br -4.816 3.316 12.606
Br -2.868 -0.942 5.063
Rb -5.741 3.783 9.291
Rb 0.389 -0.113 4.184
Rb -10.217 3.901 16.958
Rb -3.612 2.380 5.846
Rb -10.037 6.757 21.057
Rb -8.089 2.499 13.513
```



Rb4Br3: optimized geometry, PBE-GGA. Values from VASP.

Computed properties:
**Calculated volume**: 49.93 A^3/atom
**Energy**: -2.747 eV/atom
**Spin magnetization**: 0.0 μB per cell
**DOS(E_F)**: 0.1939 states/eV/atom
**Raw formation energy**: -998 kJ/mol of formula units

Structure (Quantum ESPRESSO input):
```
&SYSTEM
  ibrav = 0, nat = 7, ntyp = 2
/
ATOMIC_SPECIES
Rb 85.47 Rb.upf
Br 79.90 Br.upf
CELL_PARAMETERS angstrom
-1.173 3.368 -3.416
-4.595 0.196 -1.799
-6.144 11.834 10.207
ATOMIC_POSITIONS angstrom
Rb -7.548 11.715 7.002
Rb -4.581 7.892 5.785
Rb -7.330 7.505 -0.792
Rb -4.363 3.683 -2.010
Br -8.950 11.589 3.790
Br -2.962 3.809 1.202
Br 0.000 0.000 0.000
```